No. 1
Compound: ErOF
Source: the Alexandria database
Functional: PBE
Structure: optimized geometry

abc: 3.288 3.288 10.068
angles: 99.40 99.40 90.00
Fractional positions:
Er 0.675 0.675 0.350
Er 0.325 0.325 0.650
O 0.804 0.804 0.607
O 0.196 0.196 0.393
F 0.576 0.576 0.153
F 0.424 0.424 0.847

Calculated values
E_form (uncorrected) in eV per atom: -3.359
Total magnetization in μB per formula unit: 0.06

---

No. 2
Compound: Er3OF10
Source: the Alexandria database
Functional: PBE
Structure: optimized geometry

abc: 8.142 8.142 8.142
angles: 60.00 60.00 60.00
Fractional positions:
F 0.500 0.172 0.500
F 0.172 0.828 0.500
F 0.888 0.888 0.888
F 0.664 0.112 0.112
F 0.500 0.500 0.172
F 0.500 0.500 0.828
F 0.172 0.500 0.500
F 0.828 0.500 0.500
F 0.888 0.336 0.888
F 0.112 0.112 0.112
F 0.500 0.172 0.828
F 0.112 0.112 0.664
F 0.336 0.888 0.888
F 0.828 0.500 0.172
F 0.828 0.172 0.500
F 0.888 0.888 0.336
F 0.172 0.500 0.828
F 0.112 0.664 0.112
F 0.500 0.828 0.172
F 0.500 0.828 0.500
Er 0.760 0.760 0.240
Er 0.760 0.240 0.760
Er 0.240 0.760 0.240
Er 0.240 0.760 0.760
Er 0.760 0.240 0.240
Er 0.240 0.240 0.760
O 0.250 0.250 0.250
O 0.750 0.750 0.750

Calculated values
E_form (uncorrected) in eV per atom: -3.339
Total magnetization in μB per formula unit: 3.10

---

No. 3
Compound: ErPO4F
Source: the Alexandria database
Functional: PBE
Structure: optimized geometry

abc: 5.734 5.734 6.459
angles: 77.06 77.06 74.99
Fractional positions:
O 0.282 0.282 0.516
O 0.718 0.718 0.484
O 0.530 0.530 0.227
O 0.478 0.128 0.162
O 0.470 0.470 0.773
O 0.522 0.872 0.838
O 0.872 0.522 0.838
O 0.128 0.478 0.162
Er 0.205 0.205 0.888
Er 0.795 0.795 0.112
P 0.645 0.645 0.728
P 0.355 0.355 0.272
F 0.985 0.985 0.815
F 0.015 0.015 0.185

Calculated values
E_form (uncorrected) in eV per atom: -2.736
Total magnetization in μB per formula unit: 1.03

---

No. 4
Compound: ErPuO4F
Source: the Alexandria database
Functional: PBE
Structure: optimized geometry

abc: 6.236 6.236 7.349
angles: 93.55 93.55 56.92
Fractional positions:
Pu 0.345 0.345 0.390
Pu 0.655 0.655 0.610
O 0.503 0.503 0.319
O 0.498 0.940 0.818
O 0.060 0.502 0.182
O 0.804 0.804 0.518
O 0.940 0.498 0.818
O 0.497 0.497 0.681
O 0.502 0.060 0.182
O 0.196 0.196 0.482
Er 0.837 0.837 0.012
Er 0.163 0.163 0.988
F 0.015 0.015 0.172
F 0.985 0.985 0.828

Calculated values
E_form (uncorrected) in eV per atom: -2.911
Total magnetization in μB per formula unit: 2.00

---

No. 5
Compound: Er3PuO6F2
Source: the Alexandria database
Functional: PBE
Structure: optimized geometry

abc: 4.686 6.655 6.733
angles: 119.62 87.54 90.00
Fractional positions:
Er 0.000 0.500 0.000
Er 0.500 0.000 0.500
Er 0.500 0.500 0.500
O 0.705 0.834 0.667
O 0.728 0.830 0.157
O 0.272 0.170 0.843
O 0.295 0.166 0.333
O 0.272 0.673 0.843
O 0.728 0.327 0.157
Pu 0.500 0.000 0.000
F 0.241 0.670 0.339
F 0.759 0.330 0.661

Calculated values
E_form (uncorrected) in eV per atom: -3.336
Total magnetization in μB per formula unit: 3.00

---

No. 6
Compound: ErReO4F
Source: the Alexandria database
Functional: PBE
Structure: optimized geometry

abc: 5.965 5.965 7.006
angles: 76.33 76.33 72.30
Fractional positions:
F 0.007 0.007 0.172
F 0.993 0.993 0.828
Er 0.801 0.801 0.088
Er 0.199 0.199 0.912
O 0.255 0.255 0.549
O 0.544 0.544 0.235
O 0.456 0.456 0.765
O 0.891 0.530 0.851
O 0.470 0.109 0.149
O 0.530 0.891 0.851
O 0.109 0.470 0.149
O 0.745 0.745 0.451
Re 0.354 0.354 0.296
Re 0.646 0.646 0.704

Calculated values
E_form (uncorrected) in eV per atom: -2.491
Total magnetization in μB per formula unit: 1.00

---

No. 7
Compound: ErSO4F2
Source: the Alexandria database
Functional: PBE
Structure: optimized geometry

abc: 5.262 7.349 5.676
angles: 90.00 90.00 90.00
Fractional positions:
S 0.504 0.922 0.500
S 0.004 0.078 0.000
F 0.920 0.554 0.258
F 0.920 0.554 0.742
F 0.420 0.446 0.758
F 0.420 0.446 0.242
O 0.931 0.188 0.210
O 0.931 0.188 0.790
O 0.874 0.902 0.000
O 0.431 0.812 0.710
O 0.374 0.098 0.500
O 0.284 0.055 0.000
O 0.784 0.945 0.500
O 0.431 0.812 0.290
Er 0.634 0.621 0.000
Er 0.134 0.379 0.500

Calculated values
E_form (uncorrected) in eV per atom: -2.282
Total magnetization in μB per formula unit: 1.01

---

No. 8
Compound: Er3S2OF3
Source: the Alexandria database
Functional: PBE
Structure: optimized geometry

abc: 9.816 9.816 5.397
angles: 89.74 89.74 148.03
Fractional positions:
S 0.033 0.922 0.259
S 0.922 0.033 0.759
S 0.439 0.548 0.221
S 0.548 0.439 0.721
Er 0.104 0.913 0.767
Er 0.553 0.362 0.209
Er 0.754 0.253 0.752
Er 0.253 0.754 0.252
Er 0.362 0.553 0.709
Er 0.913 0.104 0.267
O 0.032 0.391 0.460
O 0.391 0.032 0.960
F 0.638 0.014 0.076
F 0.511 0.884 0.565
F 0.014 0.638 0.576
F 0.135 0.514 0.943
F 0.884 0.511 0.065
F 0.514 0.135 0.443

Calculated values
E_form (uncorrected) in eV per atom: -3.278
Total magnetization in μB per formula unit: 0.00

---

No. 9
Compound: ErSeO4F
Source: the Alexandria database
Functional: PBE
Structure: optimized geometry

abc: 5.783 5.783 6.705
angles: 77.22 77.22 75.99
Fractional positions:
O 0.126 0.483 0.143
O 0.467 0.467 0.734
O 0.874 0.517 0.857
O 0.517 0.874 0.857
O 0.483 0.126 0.143
O 0.533 0.533 0.266
O 0.761 0.761 0.478
O 0.239 0.239 0.522
F 0.020 0.020 0.173
F 0.980 0.980 0.827
Er 0.205 0.205 0.884
Er 0.795 0.795 0.116
Se 0.350 0.350 0.282
Se 0.650 0.650 0.718

Calculated values
E_form (uncorrected) in eV per atom: -2.068
Total magnetization in μB per formula unit: 0.00

---

No. 10
Compound: Er3SiSe2O10F
Source: the Alexandria database
Functional: PBE
Structure: optimized geometry

abc: 5.916 10.333 15.477
angles: 90.00 90.00 90.00
Fractional positions:
Er 0.566 0.387 0.847
Er 0.066 0.887 0.653
Er 0.250 0.872 0.000
Er 0.434 0.613 0.153
Er 0.750 0.128 0.000
Er 0.250 0.628 0.500
Er 0.434 0.887 0.347
Er 0.566 0.113 0.653
Er 0.934 0.387 0.153
Er 0.750 0.372 0.500
Er 0.066 0.613 0.847
Er 0.934 0.113 0.347
O 0.186 0.782 0.138
O 0.627 0.032 0.255
O 0.477 0.224 0.527
O 0.477 0.276 0.973
O 0.814 0.282 0.638
O 0.015 0.014 0.914
O 0.523 0.776 0.473
O 0.977 0.776 0.527
O 0.373 0.968 0.745
O 0.127 0.532 0.245
O 0.015 0.486 0.586
O 0.230 0.448 0.912
O 0.686 0.282 0.362
O 0.230 0.052 0.588
O 0.314 0.718 0.638
O 0.314 0.782 0.862
O 0.523 0.724 0.027
O 0.627 0.468 0.245
O 0.873 0.468 0.755
O 0.485 0.486 0.414
O 0.814 0.218 0.862
O 0.770 0.948 0.412
O 0.686 0.218 0.138
O 0.270 0.448 0.088
O 0.977 0.724 0.973
O 0.373 0.532 0.755
O 0.515 0.514 0.586
O 0.730 0.948 0.588
O 0.515 0.986 0.914
O 0.730 0.552 0.912
O 0.186 0.718 0.362
O 0.770 0.552 0.088
O 0.270 0.052 0.412
O 0.985 0.986 0.086
O 0.985 0.514 0.414
O 0.023 0.224 0.473
O 0.127 0.968 0.255
O 0.485 0.014 0.086
O 0.023 0.276 0.027
O 0.873 0.032 0.745
Se 0.025 0.116 0.825
Se 0.525 0.884 0.825
Se 0.975 0.616 0.325
Se 0.475 0.384 0.325
Se 0.025 0.384 0.675
Se 0.975 0.884 0.175
Se 0.475 0.116 0.175
Se 0.525 0.616 0.675
Si 0.750 0.859 0.500
Si 0.250 0.141 0.500
Si 0.250 0.359 0.000
Si 0.750 0.641 0.000
F 0.065 0.250 0.250
F 0.935 0.750 0.750
F 0.565 0.750 0.250
F 0.435 0.250 0.750

Calculated values
E_form (uncorrected) in eV per atom: -2.624
Total magnetization in μB per formula unit: 0.00

---

No. 11
Compound: Er3Si3O10F
Source: the Alexandria database
Functional: PBE
Structure: optimized geometry

abc: 11.178 7.342 11.946
angles: 59.76 90.00 90.00
Fractional positions:
Si 0.965 0.714 0.792
Si 0.535 0.714 0.292
Si 0.587 0.715 0.759
Si 0.244 0.124 0.109
Si 0.756 0.876 0.891
Si 0.087 0.285 0.741
Si 0.913 0.715 0.259
Si 0.256 0.124 0.609
Si 0.035 0.286 0.208
Si 0.744 0.876 0.391
Si 0.465 0.286 0.708
Si 0.413 0.285 0.241
Er 0.099 0.806 0.997
Er 0.901 0.194 0.003
Er 0.599 0.194 0.503
Er 0.228 0.597 0.311
Er 0.469 0.744 0.018
Er 0.531 0.256 0.982
Er 0.772 0.403 0.689
Er 0.728 0.403 0.189
Er 0.969 0.256 0.482
Er 0.272 0.597 0.811
Er 0.031 0.744 0.518
Er 0.401 0.806 0.497
O 0.525 0.351 0.136
O 0.908 0.342 0.129
O 0.393 0.199 0.621
O 0.819 0.712 0.519
O 0.321 0.116 0.231
O 0.897 0.504 0.809
O 0.893 0.801 0.879
O 0.107 0.199 0.121
O 0.643 0.484 0.803
O 0.319 0.288 0.981
O 0.143 0.516 0.697
O 0.479 0.103 0.863
O 0.408 0.658 0.371
O 0.225 0.895 0.121
O 0.979 0.897 0.637
O 0.103 0.496 0.191
O 0.681 0.712 0.019
O 0.603 0.504 0.309
O 0.021 0.103 0.363
O 0.275 0.895 0.621
O 0.975 0.351 0.636
O 0.607 0.801 0.379
O 0.521 0.897 0.137
O 0.821 0.884 0.269
O 0.357 0.516 0.197
O 0.450 0.148 0.393
O 0.092 0.658 0.871
O 0.050 0.148 0.893
O 0.550 0.852 0.607
O 0.592 0.342 0.629
O 0.725 0.105 0.379
O 0.181 0.288 0.481
O 0.950 0.852 0.107
O 0.025 0.649 0.364
O 0.179 0.116 0.731
O 0.679 0.884 0.769
O 0.475 0.649 0.864
O 0.857 0.484 0.303
O 0.397 0.496 0.691
O 0.775 0.105 0.879
F 0.214 0.757 0.441
F 0.286 0.757 0.941
F 0.786 0.243 0.559
F 0.714 0.243 0.059

Calculated values
E_form (uncorrected) in eV per atom: -3.295
Total magnetization in μB per formula unit: 0.00

---

No. 12
Compound: ErTeO4F
Source: the Alexandria database
Functional: PBE
Structure: optimized geometry

abc: 5.905 5.905 6.979
angles: 77.32 77.32 75.74
Fractional positions:
Te 0.651 0.651 0.707
Te 0.349 0.349 0.293
Er 0.799 0.799 0.111
Er 0.201 0.201 0.889
O 0.119 0.492 0.136
O 0.779 0.779 0.456
O 0.452 0.452 0.723
O 0.221 0.221 0.544
O 0.492 0.119 0.136
O 0.881 0.508 0.864
O 0.548 0.548 0.277
O 0.508 0.881 0.864
F 0.978 0.978 0.834
F 0.022 0.022 0.166

Calculated values
E_form (uncorrected) in eV per atom: -2.110
Total magnetization in μB per formula unit: 0.06

---

Calculated density (computed, g/cm³): 6.34 6.16 4.75 6.87 8.01 6.38 4.56 7.71 5.24 6.09 6.00 5.54
E (computed, eV per atom): -7.157 -6.008 -7.261 -8.710 -8.462 -8.022 -6.315 -6.890 -6.318 -7.185 -8.084 -6.311